CsB2MoF8: optimized geometry, PBE+U.

POSCAR file:
```
CsB2MoF8
1.0
-1.921 -4.905 1.669
3.180 -4.500 -0.415
3.261 -1.792 7.633
Cs F Mo B
1 8 1 2
Direct
0.500 0.500 0.500 Cs
0.494 0.306 0.187 F
0.809 0.809 0.574 F
0.306 0.013 0.187 F
0.506 0.694 0.813 F
0.191 0.191 0.426 F
0.694 0.987 0.813 F
0.987 0.506 0.813 F
0.013 0.494 0.187 F
0.000 0.000 0.000 Mo
0.749 0.749 0.754 B
0.251 0.251 0.246 B
```

Output
SG: R-3 (148)
crystal system: trigonal
electronic total energy: -66.9 eV/cell